VASP calculation (PBE) on KBaSr after structural relaxation.

It has space group I4mm (No. 107), with a = 4.330 Å, b = 4.330 Å, c = 20.246 Å, α = 90.00°, β = 90.00° and γ = 90.00°. Symmetry generates all atoms from K at (0.000, 0.000, 0.000), Ba at (0.000, 0.000, 0.676) and Sr at (0.000, 0.000, 0.333).

The calculation puts the density of states at the Fermi level at 4.1 states/eV/f.u. The value obtained for the formation energy from the elements is 75 meV per atom. For the calculated total energy, the calculation gives -1.492 eV per atom.